## Pa2NbCoN6 (PBE)

Data for a relaxed structure of Pa2NbCoN6.

It has space group P4mm (No. 99), with a = 5.329 Å, b = 5.329 Å, c = 4.608 Å, α = 90.00°, β = 90.00° and γ = 90.00°. The asymmetric unit holds Pa at (0.000, 0.500, 0.000), Nb at (0.000, 0.000, 0.577), Co at (0.500, 0.500, 0.624), N at (0.000, 0.000, 0.164), N at (0.255, 0.255, 0.728) and N at (0.500, 0.500, 0.212).

Its density of states at the Fermi level is 5.71 states/eV/f.u. For the uncorrected formation energy, the calculation gives -766 meV per atom.

***

## Pm2Y9Ho (PBE)

Data for a relaxed structure of Pm2Y9Ho.

It has space group P4/mmm (No. 123), with a = 5.064 Å, b = 5.064 Å, c = 15.198 Å, α = 90.00°, β = 90.00° and γ = 90.00°. The asymmetric unit holds Pm at (0.000, 0.000, 0.167), Y at (0.000, 0.500, 0.000), Y at (0.000, 0.500, 0.335), Y at (0.500, 0.500, 0.168), Y at (0.500, 0.500, 0.500) and Ho at (0.000, 0.000, 0.500).

Its density of states at the Fermi level is 18.17 states/eV/f.u. As for the formation energy from the elements: 0.024 eV per atom.

***

## TlRh2F6 (PBE)

Data for a relaxed structure of TlRh2F6.

It has space group P-31m (No. 162), with a = 5.6435 Å, b = 5.6435 Å, c = 5.9053 Å, α = 90.00°, β = 90.00° and γ = 120.00°. The asymmetric unit holds Tl at (0.0000, 0.0000, 0.0000), Rh at (0.3333, 0.6667, 0.5000) and F at (0.0000, 0.3616, 0.6785).

Its density of states at the Fermi level is 5.24 states/eV/f.u. For the uncorrected formation energy, the calculation gives -1438 meV per atom.

***

## Cs2ScCoI6 (PBE)

Data for a relaxed structure of Cs2ScCoI6.

It has space group I4/mmm (No. 139), with a = 8.189 Å, b = 8.189 Å, c = 11.573 Å, α = 90.00°, β = 90.00° and γ = 90.00°. The asymmetric unit holds Cs at (0.000, 0.500, 0.250), Sc at (0.000, 0.000, 0.000), Co at (0.000, 0.000, 0.500), I at (0.000, 0.000, 0.253) and I at (0.247, 0.247, 0.500).

Its density of states at the Fermi level is 0.00 states/eV/f.u. For the uncorrected formation energy, the calculation gives -984 meV per atom.

***

## ReSnO4 (PBE)

Data for a relaxed structure of ReSnO4.

It has space group P222 (No. 16), with a = 6.424 Å, b = 6.686 Å, c = 6.900 Å, α = 90.00°, β = 90.00° and γ = 90.00°. The asymmetric unit holds Re at (0.000, 0.000, 0.000), Re at (0.000, 0.500, 0.500), Sn at (0.000, 0.000, 0.500), Sn at (0.500, 0.500, 0.500), O at (0.156, 0.145, 0.156) and O at (0.199, 0.312, 0.570).

For the uncorrected formation energy, the calculation gives -1245 meV per atom.

***

## Mg3ScNi (PBE)

Data for a relaxed structure of Mg3ScNi.

It has space group Pm-3m (No. 221), with a = 5.478 Å, b = 5.478 Å, c = 5.478 Å, α = 90.00°, β = 90.00° and γ = 90.00°. The asymmetric unit holds Mg at (0.000, 0.000, 0.500), Sc at (0.000, 0.000, 0.000) and Ni at (0.500, 0.500, 0.500).

The calculation puts the offset from the most stable computed form at 1354 meV per atom. Its density of states at the Fermi level is 6.26 states/eV/f.u. As for the formation energy from the elements: 1.469 eV per atom.

***

## BIr2C (PBE)

Data for a relaxed structure of BIr2C.

It has space group I-42d (No. 122), with a = 4.712 Å, b = 4.712 Å, c = 9.261 Å, α = 90.00°, β = 90.00° and γ = 90.00°. The asymmetric unit holds B at (0.000, 0.000, 0.000), Ir at (0.237, 0.250, 0.625) and C at (0.000, 0.000, 0.500).

The calculation puts the offset from the most stable computed form at 0 meV per atom. Its density of states at the Fermi level is 2.50 states/eV/f.u. As for the formation energy from the elements: 0.295 eV per atom.

***

## PmNpN4 (PBE)

Data for a relaxed structure of PmNpN4.

It has space group Cmmm (No. 65), with a = 4.967 Å, b = 5.479 Å, c = 5.770 Å, α = 90.00°, β = 90.00° and γ = 90.00°. The asymmetric unit holds Pm at (0.000, 0.000, 0.000), Np at (0.000, 0.500, 0.500) and N at (0.250, 0.250, 0.284).

Its density of states at the Fermi level is 1.78 states/eV/f.u. For the uncorrected formation energy, the calculation gives -506 meV per atom.

***

Number 1: total moment 0.3 μB per formula unit. Number 2: total moment 0.0 μB per formula unit. Number 3: total moment 1.0 μB per formula unit. Number 4: total moment 2.0 μB per formula unit. Number 5: total moment 0.0 μB per formula unit. Number 6: total moment 0.0 μB per formula unit. Number 7: total moment 0.0 μB per formula unit. Number 8: total moment 0.0 μB per formula unit.